Entry 1:
Here is an optimized crystal structure of Tb2Dy2HoTm4 from Alexandria. Energies are from PBE.

Results
- Energy: -40.94 eV for the cell shown
- E_form: -0.011 eV per formula unit
- SG: No. 12

Cell lengths 3.5437, 9.3725, 9.4153 Å; angles 115.29, 90.00, 100.90 degrees
Element x y z (fractional)
Ho (0.0000, 0.0000, 0.0000)
Tb (0.1476, 0.2952, 0.6646)
Tb (0.8524, 0.7048, 0.3354)
Dy (0.3337, 0.6674, 0.9986)
Dy (0.6663, 0.3326, 0.0014)
Tm (0.4810, 0.9619, 0.6665)
Tm (0.5190, 0.0381, 0.3335)
Tm (0.1852, 0.3705, 0.3350)
Tm (0.8148, 0.6295, 0.6650)

=====

Entry 2:
Here is an optimized crystal structure of Tb2DyHoTm5 from Alexandria. Energies are from PBE.

Results
- Energy: -78.80 eV for the cell shown
- E_form: 1.397 eV per formula unit
- SG: No. 36

Cell lengths 5.5260, 10.1653, 10.4747 Å; angles 90.00, 90.00, 105.77 degrees
Element x y z (fractional)
Tm (0.4794, 0.9588, 0.7376)
Tm (0.0186, 0.0371, 0.0247)
Tm (0.2818, 0.5636, 0.3079)
Tm (0.6105, 0.2210, 0.5216)
Tm (0.9814, 0.9629, 0.5247)
Tm (0.6996, 0.3992, 0.2097)
Tm (0.3004, 0.6008, 0.7097)
Tm (0.3895, 0.7790, 0.0216)
Tm (0.7182, 0.4364, 0.8079)
Tm (0.5206, 0.0412, 0.2376)
Tb (0.1130, 0.2260, 0.3189)
Tb (0.8870, 0.7740, 0.8189)
Tb (0.8896, 0.7791, 0.2355)
Tb (0.1104, 0.2209, 0.7355)
Dy (0.5858, 0.1717, 0.9569)
Dy (0.4142, 0.8283, 0.4569)
Ho (0.2005, 0.4010, 0.0112)
Ho (0.7995, 0.5990, 0.5112)

=====

Entry 3:
Here is an optimized crystal structure of Tb2Dy6HoTm from Alexandria. Energies are from PBE.

Results
- Energy: -89.48 eV for the cell shown
- E_form: 1.184 eV per formula unit
- SG: No. 15

Cell lengths 9.5221, 8.7149, 8.7149 Å; angles 118.02, 94.13, 94.13 degrees
Element x y z (fractional)
Tb (0.0436, 0.3012, 0.1972)
Tb (0.4564, 0.8028, 0.6988)
Tb (0.5436, 0.1972, 0.3012)
Tb (0.9564, 0.6988, 0.8028)
Dy (0.5561, 0.7510, 0.1246)
Dy (0.1860, 0.5710, 0.0180)
Dy (0.9439, 0.8754, 0.2490)
Dy (0.8800, 0.2906, 0.5032)
Dy (0.4439, 0.2490, 0.8754)
Dy (0.3800, 0.5032, 0.2906)
Dy (0.8140, 0.4290, 0.9820)
Dy (0.0561, 0.1246, 0.7510)
Dy (0.6860, 0.0180, 0.5710)
Dy (0.3140, 0.9820, 0.4290)
Dy (0.6200, 0.4968, 0.7094)
Dy (0.1200, 0.7094, 0.4968)
Tm (0.7500, 0.5914, 0.4086)
Tm (0.2500, 0.4086, 0.5914)
Ho (0.2500, 0.9780, 0.0220)
Ho (0.7500, 0.0220, 0.9780)

=====

Entry 4:
Here is an optimized crystal structure of TbDy3Ho6Tm2 from Alexandria. Energies are from PBE.

Results
- Energy: -54.61 eV for the cell shown
- E_form: 0.232 eV per formula unit
- SG: No. 12

Cell lengths 6.0886, 6.0886, 11.6558 Å; angles 94.97, 94.97, 119.94 degrees
Element x y z (fractional)
Ho (0.9167, 0.5831, 0.7508)
Ho (0.5831, 0.9167, 0.7508)
Ho (0.2504, 0.2504, 0.7508)
Ho (0.4169, 0.0833, 0.2492)
Ho (0.7496, 0.7496, 0.2492)
Ho (0.0833, 0.4169, 0.2492)
Tm (0.6667, 0.3333, 0.0000)
Tm (0.3333, 0.6667, 0.0000)
Tb (0.0000, 0.0000, 0.0000)
Dy (0.8331, 0.1669, 0.5000)
Dy (0.1669, 0.8331, 0.5000)
Dy (0.5000, 0.5000, 0.5000)

=====

Entry 5:
Here is an optimized crystal structure of TbDy2Ho4Tm2 from Alexandria. Energies are from PBE.

Results
- Energy: -41.07 eV for the cell shown
- E_form: 0.020 eV per formula unit
- SG: No. 12

Cell lengths 3.5495, 9.3889, 9.4194 Å; angles 115.27, 90.00, 100.90 degrees
Element x y z (fractional)
Tm (0.3328, 0.6655, 0.9991)
Tm (0.6672, 0.3345, 0.0009)
Ho (0.5185, 0.0370, 0.3337)
Ho (0.4815, 0.9630, 0.6663)
Ho (0.8148, 0.6295, 0.6661)
Ho (0.1852, 0.3705, 0.3339)
Dy (0.8518, 0.7037, 0.3330)
Dy (0.1482, 0.2963, 0.6670)
Tb (0.0000, 0.0000, 0.0000)

=====

Entry 6:
Here is an optimized crystal structure of Tb4Dy2HoTm2 from Alexandria. Energies are from PBE.

Results
- Energy: -41.19 eV for the cell shown
- E_form: 0.060 eV per formula unit
- SG: No. 12

Cell lengths 3.5632, 9.4233, 9.4555 Å; angles 115.26, 90.00, 100.90 degrees
Element x y z (fractional)
Tb (0.4817, 0.9634, 0.6670)
Tb (0.1851, 0.3701, 0.3325)
Tb (0.5183, 0.0366, 0.3330)
Tb (0.8149, 0.6299, 0.6675)
Dy (0.8516, 0.7031, 0.3317)
Dy (0.1484, 0.2969, 0.6683)
Tm (0.3329, 0.6659, 0.0000)
Tm (0.6671, 0.3341, 0.0000)
Ho (0.0000, 0.0000, 0.0000)

=====

Entry 7:
Here is an optimized crystal structure of Tb4DyHo2Tm2 from Alexandria. Energies are from PBE.

Results
- Energy: -41.18 eV for the cell shown
- E_form: 0.046 eV per formula unit
- SG: No. 12

Cell lengths 3.5604, 9.4176, 9.4518 Å; angles 115.26, 90.00, 100.90 degrees
Element x y z (fractional)
Tb (0.1852, 0.3704, 0.3327)
Tb (0.4817, 0.9634, 0.6663)
Tb (0.8148, 0.6296, 0.6673)
Tb (0.5183, 0.0366, 0.3337)
Ho (0.8515, 0.7031, 0.3318)
Ho (0.1485, 0.2969, 0.6682)
Tm (0.3327, 0.6655, 0.0003)
Tm (0.6673, 0.3345, 0.9997)
Dy (0.0000, 0.0000, 0.0000)

=====

Entry 8:
Here is an optimized crystal structure of Tb6Dy2HoTm3 from Alexandria. Energies are from PBE.

Results
- Energy: -54.76 eV for the cell shown
- E_form: 0.216 eV per formula unit
- SG: No. 12

Cell lengths 6.1127, 6.1127, 11.6764 Å; angles 94.99, 94.99, 119.95 degrees
Element x y z (fractional)
Ho (0.0000, 0.0000, 0.0000)
Tb (0.0842, 0.4175, 0.2515)
Tb (0.9158, 0.5825, 0.7485)
Tb (0.4175, 0.0842, 0.2515)
Tb (0.7510, 0.7510, 0.2516)
Tb (0.5825, 0.9158, 0.7485)
Tb (0.2490, 0.2490, 0.7484)
Dy (0.6666, 0.3334, 0.0000)
Dy (0.3334, 0.6666, 0.0000)
Tm (0.8333, 0.1667, 0.5000)
Tm (0.5000, 0.5000, 0.5000)
Tm (0.1667, 0.8333, 0.5000)

=====

Entry 9:
Here is an optimized crystal structure of Tb3Dy6Ho2Tm from Alexandria. Energies are from PBE.

Results
- Energy: -54.93 eV for the cell shown
- E_form: 0.204 eV per formula unit
- SG: No. 12

Cell lengths 6.1140, 6.1140, 11.6994 Å; angles 94.97, 94.97, 119.95 degrees
Element x y z (fractional)
Ho (0.3334, 0.6666, 0.0000)
Ho (0.6666, 0.3334, 0.0000)
Dy (0.7498, 0.7498, 0.2487)
Dy (0.2502, 0.2502, 0.7513)
Dy (0.5840, 0.9171, 0.7514)
Dy (0.9171, 0.5840, 0.7514)
Dy (0.4160, 0.0829, 0.2486)
Dy (0.0829, 0.4160, 0.2486)
Tb (0.5000, 0.5000, 0.5000)
Tb (0.8334, 0.1666, 0.5000)
Tb (0.1666, 0.8334, 0.5000)
Tm (0.0000, 0.0000, 0.0000)

=====

Entry 10:
Here is an optimized crystal structure of TbDy6Ho2Tm3 from Alexandria. Energies are from PBE.

Results
- Energy: -54.58 eV for the cell shown
- E_form: 0.234 eV per formula unit
- SG: No. 12

Cell lengths 6.0935, 6.0935, 11.6542 Å; angles 94.98, 94.98, 119.94 degrees
Element x y z (fractional)
Dy (0.2494, 0.2494, 0.7486)
Dy (0.9158, 0.5823, 0.7486)
Dy (0.7506, 0.7506, 0.2514)
Dy (0.4177, 0.0842, 0.2514)
Dy (0.5823, 0.9158, 0.7486)
Dy (0.0842, 0.4177, 0.2514)
Ho (0.6666, 0.3334, 0.0000)
Ho (0.3334, 0.6666, 0.0000)
Tb (0.0000, 0.0000, 0.0000)
Tm (0.8332, 0.1668, 0.5000)
Tm (0.5000, 0.5000, 0.5000)
Tm (0.1668, 0.8332, 0.5000)

=====

Entry 11:
Here is an optimized crystal structure of Tb4Dy2Ho2Tm from Alexandria. Energies are from PBE.

Results
- Energy: -41.31 eV for the cell shown
- E_form: 0.045 eV per formula unit
- SG: No. 12

Cell lengths 3.5662, 9.4301, 9.4691 Å; angles 115.24, 90.00, 100.90 degrees
Element x y z (fractional)
Ho (0.6664, 0.3328, 0.9995)
Ho (0.3336, 0.6672, 0.0005)
Dy (0.8517, 0.7034, 0.3327)
Dy (0.1483, 0.2966, 0.6673)
Tb (0.8150, 0.6299, 0.6674)
Tb (0.1850, 0.3701, 0.3326)
Tb (0.4817, 0.9633, 0.6673)
Tb (0.5183, 0.0367, 0.3327)
Tm (0.0000, 0.0000, 0.0000)

=====

Entry 12:
Here is an optimized crystal structure of Tb2Dy4HoTm2 from Alexandria. Energies are from PBE.

Results
- Energy: -41.14 eV for the cell shown
- E_form: 0.051 eV per formula unit
- SG: No. 12

Cell lengths 3.5681, 9.4373, 9.4651 Å; angles 115.28, 90.00, 100.90 degrees
Element x y z (fractional)
Dy (0.5184, 0.0367, 0.3326)
Dy (0.4816, 0.9633, 0.6674)
Dy (0.1850, 0.3700, 0.3328)
Dy (0.8150, 0.6300, 0.6672)
Tb (0.1483, 0.2966, 0.6673)
Tb (0.8517, 0.7034, 0.3327)
Ho (0.0000, 0.0000, 0.0000)
Tm (0.6669, 0.3338, 0.0004)
Tm (0.3331, 0.6662, 0.9996)

=====

Entry 13:
Here is an optimized crystal structure of Tb2DyHo6Tm3 from Alexandria. Energies are from PBE.

Results
- Energy: -54.50 eV for the cell shown
- E_form: 0.245 eV per formula unit
- SG: No. 12

Cell lengths 6.0853, 6.0853, 11.6442 Å; angles 94.98, 94.98, 119.94 degrees
Element x y z (fractional)
Tb (0.3333, 0.6667, 0.0000)
Tb (0.6667, 0.3333, 0.0000)
Tm (0.8334, 0.1666, 0.5000)
Tm (0.5000, 0.5000, 0.5000)
Tm (0.1666, 0.8334, 0.5000)
Ho (0.7512, 0.7512, 0.2519)
Ho (0.0845, 0.4177, 0.2518)
Ho (0.2488, 0.2488, 0.7481)
Ho (0.4177, 0.0845, 0.2518)
Ho (0.9155, 0.5823, 0.7482)
Ho (0.5823, 0.9155, 0.7482)
Dy (0.0000, 0.0000, 0.0000)

=====

Entry 14:
Here is an optimized crystal structure of TbDy3HoTm from Alexandria. Energies are from PBE.

Results
- Energy: -54.74 eV for the cell shown
- E_form: 0.115 eV per formula unit
- SG: No. 63

Cell lengths 4.9835, 7.8862, 9.9647 Å; angles 90.00, 90.00, 108.42 degrees
Element x y z (fractional)
Dy (0.6669, 0.3337, 0.5000)
Dy (0.3331, 0.6663, 0.0000)
Dy (0.1670, 0.3340, 0.7500)
Dy (0.3331, 0.6663, 0.5000)
Dy (0.6669, 0.3337, 0.0000)
Dy (0.8330, 0.6660, 0.2500)
Ho (0.4995, 0.9991, 0.7500)
Ho (0.5005, 0.0009, 0.2500)
Tm (0.8333, 0.6666, 0.7500)
Tm (0.1667, 0.3334, 0.2500)
Tb (0.0000, 0.0000, 0.5000)
Tb (0.0000, 0.0000, 0.0000)

=====

Entry 15:
Here is an optimized crystal structure of Tb3DyHoTm from Alexandria. Energies are from PBE.

Results
- Energy: -52.56 eV for the cell shown
- E_form: 1.262 eV per formula unit
- SG: No. 12

Cell lengths 5.6709, 10.2903, 6.8019 Å; angles 90.09, 90.00, 105.99 degrees
Element x y z (fractional)
Ho (0.3531, 0.7062, 0.9733)
Ho (0.6469, 0.2938, 0.0267)
Tb (0.2188, 0.4377, 0.2496)
Tb (0.7812, 0.5623, 0.7504)
Tb (0.8371, 0.6742, 0.2540)
Tb (0.4812, 0.9623, 0.2519)
Tb (0.1629, 0.3258, 0.7460)
Tb (0.5188, 0.0377, 0.7481)
Dy (0.9433, 0.8867, 0.7459)
Dy (0.0567, 0.1133, 0.2541)
Tm (0.6474, 0.2948, 0.4711)
Tm (0.3526, 0.7052, 0.5289)

=====

Entry 16:
Here is an optimized crystal structure of Tb2Dy2HoTm2 from Alexandria. Energies are from PBE.

Results
- Energy: -30.99 eV for the cell shown
- E_form: 0.991 eV per formula unit
- SG: No. 166

Cell lengths 5.6092, 5.6092, 8.6890 Å; angles 71.17, 71.17, 60.00 degrees
Element x y z (fractional)
Ho (0.0000, 0.0000, 0.0000)
Dy (0.2846, 0.2846, 0.1461)
Dy (0.7154, 0.7154, 0.8539)
Tb (0.1405, 0.1405, 0.5784)
Tb (0.8595, 0.8595, 0.4216)
Tm (0.4286, 0.4286, 0.7143)
Tm (0.5714, 0.5714, 0.2857)

=====

Entry 17:
Here is an optimized crystal structure of TbDy2Ho5Tm from Alexandria. Energies are from PBE.

Results
- Energy: -79.63 eV for the cell shown
- E_form: 1.381 eV per formula unit
- SG: No. 36

Cell lengths 5.5429, 10.2452, 10.4884 Å; angles 90.00, 90.00, 105.69 degrees
Element x y z (fractional)
Ho (0.6098, 0.2197, 0.5227)
Ho (0.3007, 0.6013, 0.7079)
Ho (0.7187, 0.4375, 0.8074)
Ho (0.2813, 0.5625, 0.3074)
Ho (0.9820, 0.9640, 0.5238)
Ho (0.4796, 0.9593, 0.7387)
Ho (0.6993, 0.3987, 0.2079)
Ho (0.5204, 0.0407, 0.2387)
Ho (0.0180, 0.0360, 0.0238)
Ho (0.3902, 0.7803, 0.0227)
Dy (0.1135, 0.2269, 0.3182)
Dy (0.1099, 0.2198, 0.7368)
Dy (0.8901, 0.7802, 0.2368)
Dy (0.8865, 0.7731, 0.8182)
Tb (0.2000, 0.4000, 0.0110)
Tb (0.8000, 0.6000, 0.5110)
Tm (0.5875, 0.1749, 0.9575)
Tm (0.4125, 0.8251, 0.4575)

=====

Entry 18:
Here is an optimized crystal structure of Tb2Dy6HoTm3 from Alexandria. Energies are from PBE.

Results
- Energy: -54.64 eV for the cell shown
- E_form: 0.229 eV per formula unit
- SG: No. 12

Cell lengths 6.0990, 6.0990, 11.6660 Å; angles 94.98, 94.98, 119.94 degrees
Element x y z (fractional)
Tm (0.8334, 0.1666, 0.5000)
Tm (0.5000, 0.5000, 0.5000)
Tm (0.1666, 0.8334, 0.5000)
Dy (0.9156, 0.5824, 0.7483)
Dy (0.5824, 0.9156, 0.7483)
Dy (0.2487, 0.2487, 0.7482)
Dy (0.0844, 0.4176, 0.2517)
Dy (0.4176, 0.0844, 0.2517)
Dy (0.7513, 0.7513, 0.2518)
Ho (0.0000, 0.0000, 0.0000)
Tb (0.3333, 0.6667, 0.0000)
Tb (0.6667, 0.3333, 0.0000)

=====

Entry 19:
Here is an optimized crystal structure of Tb3Dy2HoTm6 from Alexandria. Energies are from PBE.

Results
- Energy: -54.24 eV for the cell shown
- E_form: 0.260 eV per formula unit
- SG: No. 12

Cell lengths 6.0826, 6.0826, 11.6106 Å; angles 95.00, 95.00, 119.95 degrees
Element x y z (fractional)
Tm (0.9167, 0.5834, 0.7506)
Tm (0.2500, 0.2500, 0.7506)
Tm (0.4166, 0.0833, 0.2494)
Tm (0.7500, 0.7500, 0.2494)
Tm (0.0833, 0.4166, 0.2494)
Tm (0.5834, 0.9167, 0.7506)
Dy (0.3333, 0.6667, 0.0000)
Dy (0.6667, 0.3333, 0.0000)
Ho (0.0000, 0.0000, 0.0000)
Tb (0.5000, 0.5000, 0.5000)
Tb (0.1666, 0.8334, 0.5000)
Tb (0.8334, 0.1666, 0.5000)

=====

Entry 20:
Here is an optimized crystal structure of TbDyHoTm from Alexandria. Energies are from PBE.

Results
- Energy: -17.72 eV for the cell shown
- Offset from the most stable computed form: 118.5 meV/atom
- E_form: 0.558 eV per formula unit
- SG: No. 216

Cell lengths 5.6214, 5.6214, 5.6214 Å; angles 60.00, 60.00, 60.00 degrees
Element x y z (fractional)
Ho (0.7500, 0.7500, 0.7500)
Tb (0.0000, 0.0000, 0.0000)
Dy (0.5000, 0.5000, 0.5000)
Tm (0.2500, 0.2500, 0.2500)